# 1
AlCuRu2, optimized geometry, DFT PBE; spin magnetization = 0.00 μB per atom; raw total energy = -27.09 eV per cell; space group = P4mm
1.0
2.8766 0.0000 0.0000
0.0000 2.8766 0.0000
0.0000 0.0000 6.4743
Al Cu Ru
1 1 2
Direct
0.0000 0.0000 0.0000
0.5000 0.5000 0.2249
0.0000 0.0000 0.4888
0.5000 0.5000 0.7455

# 2
Cd2SnIrI, optimized geometry, DFT PBE; spin magnetization = 0.00 μB per atom; raw total energy = -16.33 eV per cell; space group = P4/mmm; formation energy without anion corrections = -17 meV per atom
1.0
5.3606 0.0000 0.0000
0.0000 5.3606 0.0000
0.0000 0.0000 5.0958
Cd Sn Ir I
2 1 1 1
Direct
0.0000 0.5000 0.0000
0.5000 0.0000 0.0000
0.0000 0.0000 0.5000
0.0000 0.0000 0.0000
0.5000 0.5000 0.5000

Among the records above, which one has the highest raw total energy?
Cd2SnIrI

spin magnetization of number 2 (Cd2SnIrI)?
0.00 μB per atom